[1]
Density functional theory data (PBE) for a relaxed structure of Ni2AsIrPd.

The structure in POSCAR format:
```
Ni2AsIrPd
1.0
4.287 0.000 0.000
0.000 4.287 0.000
0.000 0.000 4.568
Ni As Ir Pd
2 1 1 1
Direct
0.000 0.500 0.000
0.500 0.000 0.000
0.000 0.000 0.000
0.000 0.000 0.500
0.500 0.500 0.500
```

## Properties
- Symmetry: P4/mmm
- Formation enthalpy at 0 K: 0.680 eV/atom



[2]
Density functional theory data (PBE) for a relaxed structure of Sm5ErIn2.

The structure in POSCAR format:
```
Sm5ErIn2
1.0
6.956 0.000 0.000
0.000 13.912 0.000
0.000 0.000 4.902
Sm Er In
10 2 4
Direct
0.000 0.000 0.000
0.001 0.252 0.000
0.249 0.876 0.500
0.251 0.376 0.500
0.499 0.752 0.000
0.500 0.500 0.000
0.501 0.248 0.000
0.749 0.624 0.500
0.751 0.124 0.500
0.999 0.748 0.000
0.000 0.500 0.000
0.500 0.000 0.000
0.247 0.623 0.500
0.253 0.123 0.500
0.747 0.877 0.500
0.753 0.377 0.500
```

## Properties
- Offset from the most stable computed form: 0.000 eV/atom
- Symmetry: Pbam
- Formation enthalpy at 0 K: -0.271 eV/atom



[3]
Density functional theory data (PBE) for a relaxed structure of Sm5Y2.

The structure in POSCAR format:
```
Sm5Y2
1.0
2.883 1.664 8.172
-2.883 1.664 8.172
0.000 -3.329 8.172
Sm Y
5 2
Direct
0.000 0.000 0.000
0.291 0.291 0.291
0.431 0.431 0.431
0.569 0.569 0.569
0.709 0.709 0.709
0.149 0.149 0.149
0.851 0.851 0.851
```

## Properties
- Offset from the most stable computed form: 0.125 eV/atom
- Symmetry: R-3m
- Formation enthalpy at 0 K: 0.137 eV/atom



[4]
Density functional theory data (PBE) for a relaxed structure of Ba6Na3Tl.

The structure in POSCAR format:
```
Ba6Na3Tl
1.0
11.890 0.000 0.000
0.000 6.043 0.000
-2.904 0.000 14.182
Ba Na Tl
12 6 2
Direct
0.014 0.250 0.369
0.216 0.750 0.205
0.315 0.250 0.648
0.332 0.250 0.047
0.337 0.750 0.857
0.430 0.250 0.365
0.570 0.750 0.635
0.663 0.250 0.143
0.668 0.750 0.953
0.685 0.750 0.352
0.784 0.250 0.795
0.986 0.750 0.631
0.015 0.750 0.930
0.104 0.250 0.819
0.246 0.750 0.476
0.754 0.250 0.524
0.896 0.750 0.181
0.985 0.250 0.070
0.484 0.750 0.136
0.516 0.250 0.864
```

## Properties
- Offset from the most stable computed form: 0.000 eV/atom
- Symmetry: P2_1/m
- Formation enthalpy at 0 K: -0.075 eV/atom



[5]
Density functional theory data (PBE) for a relaxed structure of Mo2PtCl.

The structure in POSCAR format:
```
Mo2PtCl
1.0
-2.759 2.759 5.536
2.759 -2.759 5.536
2.759 2.759 -5.536
Mo Pt Cl
4 2 2
Direct
0.102 0.625 0.977
0.375 0.352 0.477
0.648 0.125 0.023
0.875 0.898 0.523
0.250 0.750 0.500
0.500 0.500 0.000
0.000 0.000 0.000
0.750 0.250 0.500
```

## Properties
- Offset from the most stable computed form: 0.862 eV/atom
- Symmetry: I-42d



[6]
Density functional theory data (PBE) for a relaxed structure of ThAlCu3.

The structure in POSCAR format:
```
ThAlCu3
1.0
4.556 0.000 0.000
0.000 4.556 0.000
0.000 0.000 4.556
Th Al Cu
1 1 3
Direct
0.000 0.000 0.000
0.500 0.500 0.500
0.000 0.500 0.500
0.500 0.000 0.500
0.500 0.500 0.000
```

## Properties
- Offset from the most stable computed form: 0.329 eV/atom
- Symmetry: Pm-3m
- Formation enthalpy at 0 K: 0.125 eV/atom



[7]
Density functional theory data (PBE) for a relaxed structure of AcRePb2O8.

The structure in POSCAR format:
```
AcRePb2O8
1.0
5.243 0.000 0.000
0.000 7.070 0.000
-0.103 0.000 5.249
Ac Re Pb O
1 1 2 8
Direct
0.000 0.000 0.000
0.000 0.500 0.000
0.500 0.258 0.500
0.500 0.742 0.500
0.180 0.303 0.176
0.180 0.697 0.176
0.252 0.500 0.743
0.321 0.000 0.675
0.679 0.000 0.325
0.748 0.500 0.257
0.820 0.303 0.824
0.820 0.697 0.824
```

## Properties
- Symmetry: P2/m
- Total DFT energy (no corrections): -6.93 eV/atom



[8]
Density functional theory data (PBE) for a relaxed structure of KPm2Zn.

The structure in POSCAR format:
```
KPm2Zn
1.0
1.860 1.074 12.187
-1.860 1.074 12.187
0.000 -2.148 12.187
K Pm Zn
1 2 1
Direct
0.000 0.000 0.000
0.108 0.108 0.108
0.892 0.892 0.892
0.500 0.500 0.500
```

## Properties
- Symmetry: R-3m
- Formation enthalpy at 0 K: 0.148 eV/atom